No. 1
Material: CaYIn
Method: DFT, GGA-PBE
State: optimized geometry

Its offset from the most stable computed form is 283 meV per atom. The calculation puts the total energy at -3.855 eV/atom. As for the total moment: 0.00 μB per formula unit. The calculation puts the density of states at the Fermi level at 2.81 states/eV per cell.

It has space group P4/nmm (No. 129, origin choice 2), with a = 4.958 Å, b = 4.958 Å, c = 7.917 Å, α = 90.00°, β = 90.00° and γ = 90.00°. The distinct sites, in fractional coordinates, are Ca at (0.250, 0.250, 0.205), Y at (0.250, 0.250, 0.747) and In at (0.250, 0.750, 0.500).

***

No. 2
Material: Ca2YIn
Method: DFT, GGA-PBE
State: optimized geometry

The calculation puts the total energy at -3.446 eV/atom. As for the total moment: 0.00 μB per formula unit. The calculation puts the density of states at the Fermi level at 7.43 states/eV per cell.

It has space group I4/mmm (No. 139), with a = 4.893 Å, b = 4.893 Å, c = 10.411 Å, α = 90.00°, β = 90.00° and γ = 90.00°. The distinct sites, in fractional coordinates, are Ca at (0.000, 0.500, 0.250), Y at (0.000, 0.000, 0.000) and In at (0.000, 0.000, 0.500).

***

No. 3
Material: CaY3In4
Method: DFT, GGA-PBE
State: optimized geometry

The calculation puts the total energy at -4.526 eV/atom. As for the total moment: 0.00 μB per formula unit. The calculation puts the density of states at the Fermi level at 13.19 states/eV per cell.

It has space group R-3m (No. 166, hexagonal axes), with a = 5.3433 Å, b = 5.3433 Å, c = 26.2637 Å, α = 90.00°, β = 90.00° and γ = 120.00°. The distinct sites, in fractional coordinates, are Ca at (0.0000, 0.0000, 0.0000), Y at (0.0000, 0.0000, 0.2516), Y at (0.0000, 0.0000, 0.5000), In at (0.0000, 0.0000, 0.1259) and In at (0.0000, 0.0000, 0.3759).

***

No. 4
Material: Ca5YIn6
Method: DFT, GGA-PBE
State: optimized geometry

The calculation puts the total energy at -3.217 eV/atom. As for the total moment: 0.00 μB per formula unit. The calculation puts the density of states at the Fermi level at 11.91 states/eV per cell.

It has space group C2/m (No. 12), with a = 17.000 Å, b = 7.780 Å, c = 5.392 Å, α = 90.00°, β = 108.00° and γ = 90.00°. The distinct sites, in fractional coordinates, are Ca at (0.000, 0.000, 0.000), Ca at (0.166, 0.000, 0.665), Ca at (0.171, 0.500, 0.670), Y at (0.000, 0.500, 0.000), In at (0.000, 0.257, 0.500) and In at (0.164, 0.254, 0.163).

***

No. 5
Material: Ca2YIn
Method: DFT, GGA-PBE
State: optimized geometry

The calculation puts the total energy at -3.402 eV/atom. As for the total moment: 0.00 μB per formula unit. The calculation puts the density of states at the Fermi level at 7.61 states/eV per cell.

It has space group Cmmm (No. 65), with a = 6.957 Å, b = 10.270 Å, c = 3.633 Å, α = 90.00°, β = 90.00° and γ = 90.00°. The distinct sites, in fractional coordinates, are Ca at (0.250, 0.250, 0.000), Y at (0.000, 0.000, 0.500) and In at (0.000, 0.500, 0.500).

***

No. 6
Material: CaYIn
Method: DFT, GGA-PBE
State: optimized geometry

Its offset from the most stable computed form is 115 meV per atom. The calculation puts the total energy at -4.023 eV/atom. As for the total moment: 0.00 μB per formula unit. The calculation puts the density of states at the Fermi level at 10.58 states/eV per cell.

It has space group Ima2 (No. 46), with a = 6.688 Å, b = 8.470 Å, c = 6.723 Å, α = 90.00°, β = 90.00° and γ = 90.00°. The distinct sites, in fractional coordinates, are Ca at (0.250, 0.139, 0.000), Y at (0.250, 0.731, 0.778) and In at (0.000, 0.000, 0.552).

***

> Look up the total moment of the sixth one.

0.00 μB per formula unit

***

> Look up the total moment of the fourth one.

0.00 μB per formula unit